An optimized crystal structure of CoAgTeN2. Source: the Alexandria database, functional PBE.

Its formation energy (no corrections) is 1.074 eV per atom.

Cell lengths 3.7937, 3.7937, 5.5577 Å; angles 90.00, 90.00, 90.00 degrees
Last column: nearest neighbours and their distance in Å.
Space group P4/mmm (No. 123)
Symmetry-distinct sites (fractional):
Co (0.0000, 0.0000, 0.0000) [1 per cell]  4 N 1.90
Ag (0.5000, 0.5000, 0.5000) [1 per cell]  4 Te 2.68
Te (0.0000, 0.0000, 0.5000) [1 per cell]  4 Ag 2.68, 2 Co 2.78
N (0.0000, 0.5000, 0.0000) [2 per cell]  2 Co 1.90